# 1
## Ce2TmZr (PBE)

Data for crystalline Ce2TmZr at its relaxed geometry.

E_form	0.11	eV/atom
symmetry	P4/mmm
energy above the lowest structure with this stoichiometry	0.000	eV/atom
V	27.223	A^3/atom
total moment	0.0	Bohr magnetons per cell

Cell lengths 3.290, 3.290, 10.062 Å; angles 90.00, 90.00, 90.00 degrees
Sites, in units of the cell vectors:
Ce 0.000 0.000 0.239
Ce 0.000 0.000 0.761
Tm 0.500 0.500 0.500
Zr 0.500 0.500 0.000

---

# 2
## Na2Re2F (PBE)

Data for crystalline Na2Re2F at its relaxed geometry.

formation energy without anion corrections	73	kJ/mol of atoms
symmetry	P4/mbm
energy above the lowest structure with this stoichiometry	0.984	eV/atom
V	22.745	A^3/atom
total moment	0.7	Bohr magnetons per cell

Cell lengths 9.382, 9.382, 2.584 Å; angles 90.00, 90.00, 90.00 degrees
Sites, in units of the cell vectors:
F 0.000 0.000 0.000
F 0.500 0.500 0.000
Na 0.799 0.701 0.000
Na 0.701 0.201 0.000
Na 0.201 0.299 0.000
Na 0.299 0.799 0.000
Re 0.085 0.585 0.500
Re 0.585 0.915 0.500
Re 0.415 0.085 0.500
Re 0.915 0.415 0.500

---

Number 1: energy -6.1086 eV per atom. Number 2: energy -5.1257 eV per atom.